1.
Computed, not measured: a PBEsol-optimized structure of ScFe2ReNi at the meta-GGA SCAN level of DFT.

- calculated formation energy (eV/atom) = 1.41
- uncorrected energy (eV/atom) = -26.140
- space-group type = No. 123

a b c (Å): 4.3486 4.3486 4.8964
angles (deg): 90.00 90.00 90.00
Last column: nearest neighbours and their distance in Å.
Atoms (fractional coordinates):
Sc: 0.0000 0.0000 0.0000  2 Re 2.45
Fe: 0.0000 0.5000 0.5000  2 Re 2.17
Fe: 0.5000 0.0000 0.5000  2 Re 2.17
Re: 0.0000 0.0000 0.5000  4 Fe 2.17
Ni: 0.5000 0.5000 0.0000  4 Sc 3.07, 8 Fe 3.27

2.
Computed, not measured: a PBEsol-optimized structure of TlFe2ReNi at the meta-GGA SCAN level of DFT.

- calculated formation energy (eV/atom) = 1.44
- uncorrected energy (eV/atom) = -37.741
- space-group type = No. 123

a b c (Å): 4.2326 4.2326 4.5741
angles (deg): 90.00 90.00 90.00
Last column: nearest neighbours and their distance in Å.
Atoms (fractional coordinates):
Tl: 0.0000 0.0000 0.0000  2 Ni 2.29
Fe: 0.0000 0.5000 0.5000  2 Ni 2.12
Fe: 0.5000 0.0000 0.5000  2 Ni 2.12
Re: 0.5000 0.5000 0.0000  4 Tl 2.99, 8 Fe 3.12
Ni: 0.0000 0.0000 0.5000  4 Fe 2.12, 2 Tl 2.29

3.
Computed, not measured: a PBEsol-optimized structure of FeNiRh2 at the meta-GGA SCAN level of DFT.

- calculated formation energy (eV/atom) = -0.06
- uncorrected energy (eV/atom) = -25.525
- space-group type = No. 65

a b c (Å): 4.3973 4.3973 2.6410
angles (deg): 90.00 90.00 106.50
Last column: nearest neighbours and their distance in Å.
Atoms (fractional coordinates):
Fe: 0.0000 0.0000 0.0000  8 Rh 2.56, 2 Ni 2.63, 2 Fe 2.64
Ni: 0.5000 0.5000 0.0000  8 Rh 2.56, 2 Fe 2.63, 2 Ni 2.64
Rh: 0.0000 0.5000 0.5000  4 Fe 2.56, 4 Ni 2.56, 4 Rh 2.63-2.64
Rh: 0.5000 0.0000 0.5000  4 Fe 2.56, 4 Ni 2.56, 4 Rh 2.63-2.64

4.
Computed, not measured: a PBEsol-optimized structure of FeNiRh2 at the meta-GGA SCAN level of DFT.

- calculated formation energy (eV/atom) = -0.06
- uncorrected energy (eV/atom) = -25.519
- space-group type = No. 166

a b c (Å): 8.4181 8.4181 8.4181
angles (deg): 17.90 17.90 17.90
Last column: nearest neighbours and their distance in Å.
Atoms (fractional coordinates):
Fe: 0.0000 0.0000 0.0000  6 Rh 2.56, 6 Fe 2.62
Ni: 0.5000 0.5000 0.5000  6 Rh 2.57, 6 Ni 2.62
Rh: 0.2503 0.2503 0.2503  3 Fe 2.56, 3 Ni 2.57, 6 Rh 2.62
Rh: 0.7497 0.7497 0.7497  3 Fe 2.56, 3 Ni 2.57, 6 Rh 2.62

5.
Computed, not measured: a PBEsol-optimized structure of FeNiRh2 at the meta-GGA SCAN level of DFT.

- calculated formation energy (eV/atom) = -0.08
- uncorrected energy (eV/atom) = -25.546
- space-group type = No. 12

a b c (Å): 4.4286 4.4286 4.5503
angles (deg): 99.80 99.80 34.39
Last column: nearest neighbours and their distance in Å.
Atoms (fractional coordinates):
Fe: 0.0000 0.0000 0.0000  6 Rh 2.57-2.58, 2 Fe 2.62, 4 Ni 2.62
Ni: 0.5000 0.5000 0.5000  6 Rh 2.56-2.58, 2 Ni 2.62, 4 Fe 2.62
Rh: 0.2508 0.2508 0.7483  3 Ni 2.56-2.58, 3 Fe 2.57-2.58, 6 Rh 2.61-2.64
Rh: 0.7492 0.7492 0.2517  3 Ni 2.56-2.58, 3 Fe 2.57-2.58, 6 Rh 2.61-2.64

6.
Computed, not measured: a PBEsol-optimized structure of FeNiRh2 at the meta-GGA SCAN level of DFT.

- calculated formation energy (eV/atom) = -0.05
- uncorrected energy (eV/atom) = -25.513
- space-group type = No. 38

a b c (Å): 3.9567 4.9678 4.9678
angles (deg): 30.36 90.00 90.00
Last column: nearest neighbours and their distance in Å.
Atoms (fractional coordinates):
Fe: 0.0000 0.0000 0.0000  2 Ni 2.34, 5 Rh 2.52-2.59, 2 Fe 2.60
Ni: 0.5000 0.8697 0.8697  2 Fe 2.34, 5 Rh 2.50-2.58, 2 Ni 2.60
Rh: 0.0000 0.2625 0.2625  3 Fe 2.52-2.62, 4 Ni 2.58, 6 Rh 2.60-2.79
Rh: 0.5000 0.6092 0.6092  3 Ni 2.50-2.64, 4 Fe 2.59, 6 Rh 2.60-2.79

7.
Computed, not measured: a PBEsol-optimized structure of FeNi6Rh at the meta-GGA SCAN level of DFT.

- calculated formation energy (eV/atom) = -0.06
- uncorrected energy (eV/atom) = -18.681
- space-group type = No. 65

a b c (Å): 6.1053 6.1053 9.9779
angles (deg): 90.00 90.00 109.60
Last column: nearest neighbours and their distance in Å.
Atoms (fractional coordinates):
Fe: 0.0000 0.0000 0.2481  12 Ni 2.46-2.51
Fe: 0.0000 0.0000 0.7519  12 Ni 2.46-2.51
Fe: 0.2502 0.7498 0.0000  12 Ni 2.45-2.50
Fe: 0.7498 0.2502 0.0000  12 Ni 2.45-2.50
Ni: 0.0000 0.0000 0.0000  8 Ni 2.47, 4 Fe 2.48-2.50
Ni: 0.0000 0.0000 0.5000  8 Ni 2.48, 2 Rh 2.50, 2 Fe 2.51
Ni: 0.1205 0.3729 0.1223  8 Ni 2.44-2.52, 3 Fe 2.46-2.49, 1 Rh 2.53
Ni: 0.1205 0.3729 0.8777  8 Ni 2.44-2.52, 3 Fe 2.46-2.49, 1 Rh 2.53
Ni: 0.1220 0.3695 0.3716  1 Fe 2.46, 8 Ni 2.47-2.56, 3 Rh 2.49-2.54
Ni: 0.1220 0.3695 0.6284  1 Fe 2.46, 8 Ni 2.47-2.56, 3 Rh 2.49-2.54
Ni: 0.2482 0.7518 0.2458  2 Fe 2.45-2.48, 8 Ni 2.45-2.53, 2 Rh 2.51-2.54
Ni: 0.2482 0.7518 0.7542  2 Fe 2.45-2.48, 8 Ni 2.45-2.53, 2 Rh 2.51-2.54
Ni: 0.3695 0.1220 0.3716  1 Fe 2.46, 8 Ni 2.47-2.56, 3 Rh 2.49-2.54
Ni: 0.3695 0.1220 0.6284  1 Fe 2.46, 8 Ni 2.47-2.56, 3 Rh 2.49-2.54
Ni: 0.3729 0.1205 0.1223  8 Ni 2.44-2.52, 3 Fe 2.46-2.49, 1 Rh 2.53
Ni: 0.3729 0.1205 0.8777  8 Ni 2.44-2.52, 3 Fe 2.46-2.49, 1 Rh 2.53
Ni: 0.5000 0.5000 0.0000  2 Rh 2.49, 2 Fe 2.49, 8 Ni 2.50
Ni: 0.5000 0.5000 0.5000  4 Rh 2.49-2.50, 8 Ni 2.52
Ni: 0.6271 0.8795 0.1223  8 Ni 2.44-2.52, 3 Fe 2.46-2.49, 1 Rh 2.53
Ni: 0.6271 0.8795 0.8777  8 Ni 2.44-2.52, 3 Fe 2.46-2.49, 1 Rh 2.53
Ni: 0.6305 0.8780 0.3716  1 Fe 2.46, 8 Ni 2.47-2.56, 3 Rh 2.49-2.54
Ni: 0.6305 0.8780 0.6284  1 Fe 2.46, 8 Ni 2.47-2.56, 3 Rh 2.49-2.54
Ni: 0.7518 0.2482 0.2458  2 Fe 2.45-2.48, 8 Ni 2.45-2.53, 2 Rh 2.51-2.54
Ni: 0.7518 0.2482 0.7542  2 Fe 2.45-2.48, 8 Ni 2.45-2.53, 2 Rh 2.51-2.54
Ni: 0.8780 0.6305 0.3716  1 Fe 2.46, 8 Ni 2.47-2.56, 3 Rh 2.49-2.54
Ni: 0.8780 0.6305 0.6284  1 Fe 2.46, 8 Ni 2.47-2.56, 3 Rh 2.49-2.54
Ni: 0.8795 0.6271 0.1223  8 Ni 2.44-2.52, 3 Fe 2.46-2.49, 1 Rh 2.53
Ni: 0.8795 0.6271 0.8777  8 Ni 2.44-2.52, 3 Fe 2.46-2.49, 1 Rh 2.53
Rh: 0.2502 0.7498 0.5000  12 Ni 2.49-2.54
Rh: 0.5000 0.5000 0.2497  12 Ni 2.49-2.53
Rh: 0.5000 0.5000 0.7503  12 Ni 2.49-2.53
Rh: 0.7498 0.2502 0.5000  12 Ni 2.49-2.54

8.
Computed, not measured: a PBEsol-optimized structure of FeNiRh2 at the meta-GGA SCAN level of DFT.

- calculated formation energy (eV/atom) = -0.10
- uncorrected energy (eV/atom) = -25.560
- space-group type = No. 119

a b c (Å): 4.5162 4.5162 4.5162
angles (deg): 132.45 132.45 69.52
Last column: nearest neighbours and their distance in Å.
Atoms (fractional coordinates):
Fe: 0.0000 0.0000 0.0000  8 Rh 2.57-2.60, 4 Ni 2.60
Ni: 0.7500 0.2500 0.5000  8 Rh 2.57-2.60, 4 Fe 2.60
Rh: 0.2500 0.7500 0.5000  4 Ni 2.57, 4 Fe 2.60, 4 Rh 2.60
Rh: 0.5000 0.5000 0.0000  4 Fe 2.57, 4 Ni 2.60, 4 Rh 2.60

9.
Computed, not measured: a PBEsol-optimized structure of FeNiSb2 at the meta-GGA SCAN level of DFT.

- formation energy from raw total energies (meV per atom) = 349
- polymorph energy (0 for the lowest one) (eV/atom) = 0.112
- uncorrected energy (eV/atom) = -26.857
- space-group type = No. 225

a b c (Å): 4.5313 4.5313 4.5313
angles (deg): 60.00 60.00 60.00
Last column: nearest neighbours and their distance in Å.
Atoms (fractional coordinates):
Fe: 0.0000 0.0000 0.0000  8 Sb 2.77
Ni: 0.5000 0.5000 0.5000  8 Sb 2.77
Sb: 0.2500 0.2500 0.2500  4 Fe 2.77, 4 Ni 2.77
Sb: 0.7500 0.7500 0.7500  4 Fe 2.77, 4 Ni 2.77

10.
Computed, not measured: a PBEsol-optimized structure of FeNiSb2 at the meta-GGA SCAN level of DFT.

- formation energy from raw total energies (meV per atom) = 237
- polymorph energy (0 for the lowest one) (eV/atom) = 0.000
- uncorrected energy (eV/atom) = -26.969
- space-group type = No. 12

a b c (Å): 4.2046 4.2046 5.5160
angles (deg): 103.13 103.13 45.48
Last column: nearest neighbours and their distance in Å.
Atoms (fractional coordinates):
Fe: 0.0000 0.0000 0.0000  6 Sb 2.63
Ni: 0.5000 0.5000 0.5000  6 Sb 2.65
Sb: 0.2509 0.2509 0.7535  3 Fe 2.63, 3 Ni 2.65
Sb: 0.7491 0.7491 0.2465  3 Fe 2.63, 3 Ni 2.65

11.
Computed, not measured: a PBEsol-optimized structure of Ti2FeNiSb2 at the meta-GGA SCAN level of DFT.

- formation energy from raw total energies (meV per atom) = -656
- uncorrected energy (eV/atom) = -24.137
- space-group type = No. 160

a b c (Å): 7.1172 7.1172 7.1172
angles (deg): 33.90 33.90 33.90
Last column: nearest neighbours and their distance in Å.
Atoms (fractional coordinates):
Ti: 0.0000 0.0000 0.0000  3 Fe 2.53, 1 Ni 2.60
Ti: 0.4932 0.4932 0.4932  1 Fe 2.39, 3 Ni 2.56
Fe: 0.3743 0.3743 0.3743  4 Ti 2.39-2.53, 4 Sb 2.51-2.53
Ni: 0.8708 0.8708 0.8708  4 Sb 2.54-2.55, 4 Ti 2.56-2.60
Sb: 0.2482 0.2482 0.2482  1 Fe 2.53, 3 Ni 2.55
Sb: 0.7446 0.7446 0.7446  3 Fe 2.51, 1 Ni 2.54

12.
Computed, not measured: a PBEsol-optimized structure of ScFeNi at the meta-GGA SCAN level of DFT.

- calculated formation energy (eV/atom) = 0.08
- uncorrected energy (eV/atom) = -16.102
- space-group type = No. 216

a b c (Å): 4.0715 4.0715 4.0715
angles (deg): 60.00 60.00 60.00
Last column: nearest neighbours and their distance in Å.
Atoms (fractional coordinates):
Sc: 0.0000 0.0000 0.0000  4 Ni 2.49
Fe: 0.5000 0.5000 0.5000  4 Ni 2.49
Ni: 0.7500 0.7500 0.7500  4 Fe 2.49, 4 Sc 2.49

13.
Computed, not measured: a PBEsol-optimized structure of Sc2FeNi at the meta-GGA SCAN level of DFT.

- calculated formation energy (eV/atom) = -0.26
- uncorrected energy (eV/atom) = -15.954
- space-group type = No. 123

a b c (Å): 4.3376 4.3376 3.1344
angles (deg): 90.00 90.00 90.00
Last column: nearest neighbours and their distance in Å.
Atoms (fractional coordinates):
Sc: 0.0000 0.5000 0.0000  4 Fe 2.68, 4 Ni 2.68
Sc: 0.5000 0.0000 0.0000  4 Fe 2.68, 4 Ni 2.68
Fe: 0.0000 0.0000 0.5000  8 Sc 2.68
Ni: 0.5000 0.5000 0.5000  8 Sc 2.68

14.
Computed, not measured: a PBEsol-optimized structure of ScFeNi2 at the meta-GGA SCAN level of DFT.

- calculated formation energy (eV/atom) = 0.24
- uncorrected energy (eV/atom) = -15.933
- space-group type = No. 160

a b c (Å): 8.3251 8.3251 8.3251
angles (deg): 18.61 18.61 18.61
Last column: nearest neighbours and their distance in Å.
Atoms (fractional coordinates):
Sc: 0.0000 0.0000 0.0000  3 Ni 2.63, 6 Sc 2.69, 3 Fe 2.73
Fe: 0.7581 0.7581 0.7581  3 Ni 2.43, 6 Fe 2.69
Ni: 0.2466 0.2466 0.2466  9 Ni 2.49-2.69, 3 Sc 2.63
Ni: 0.5007 0.5007 0.5007  3 Fe 2.43, 9 Ni 2.49-2.69

15.
Computed, not measured: a PBEsol-optimized structure of ScFeNi at the meta-GGA SCAN level of DFT.

- calculated formation energy (eV/atom) = 0.21
- uncorrected energy (eV/atom) = -15.973
- space-group type = No. 156

a b c (Å): 2.8390 2.8390 6.0611
angles (deg): 90.00 90.00 120.00
Last column: nearest neighbours and their distance in Å.
Atoms (fractional coordinates):
Sc: 0.0000 0.0000 0.0000  3 Ni 2.66, 3 Fe 2.71, 6 Sc 2.84
Fe: 0.6667 0.3333 0.6431  3 Ni 2.44, 3 Sc 2.71
Ni: 0.3333 0.6667 0.3459  3 Fe 2.44, 3 Sc 2.66

16.
Computed, not measured: a PBEsol-optimized structure of FeNiSe2 at the meta-GGA SCAN level of DFT.

- formation energy from raw total energies (meV per atom) = -133
- polymorph energy (0 for the lowest one) (eV/atom) = 0.118
- uncorrected energy (eV/atom) = -18.748
- space-group type = No. 99

a b c (Å): 3.1841 3.1841 6.2458
angles (deg): 90.00 90.00 90.00
Last column: nearest neighbours and their distance in Å.
Atoms (fractional coordinates):
Fe: 0.0000 0.0000 0.0000  5 Se 2.30-2.44
Ni: 0.5000 0.5000 0.2259  5 Se 2.36-2.42
Se: 0.0000 0.0000 0.3680  1 Fe 2.30, 4 Ni 2.42
Se: 0.5000 0.5000 0.8477  1 Ni 2.36, 4 Fe 2.44

17.
Computed, not measured: a PBEsol-optimized structure of FeNiSe2 at the meta-GGA SCAN level of DFT.

- formation energy from raw total energies (meV per atom) = -250
- polymorph energy (0 for the lowest one) (eV/atom) = 0.000
- uncorrected energy (eV/atom) = -18.865
- space-group type = No. 115

a b c (Å): 3.5959 3.5959 5.3421
angles (deg): 90.00 90.00 90.00
Last column: nearest neighbours and their distance in Å.
Atoms (fractional coordinates):
Fe: 0.0000 0.0000 0.0000  4 Se 2.31, 4 Ni 2.54
Ni: 0.5000 0.5000 0.0000  4 Se 2.31, 4 Fe 2.54
Se: 0.0000 0.5000 0.2721  2 Fe 2.31, 2 Ni 2.31
Se: 0.5000 0.0000 0.7279  2 Fe 2.31, 2 Ni 2.31

18.
Computed, not measured: a PBEsol-optimized structure of FeNiSe at the meta-GGA SCAN level of DFT.

- formation energy from raw total energies (meV per atom) = 297
- uncorrected energy (eV/atom) = -17.830
- space-group type = No. 156

a b c (Å): 2.8905 2.8905 5.4407
angles (deg): 90.00 90.00 120.00
Last column: nearest neighbours and their distance in Å.
Atoms (fractional coordinates):
Fe: 0.0000 0.0000 0.0000  3 Se 2.41, 3 Ni 2.45
Ni: 0.6667 0.3333 0.6698  3 Fe 2.45, 3 Se 2.53
Se: 0.3333 0.6667 0.3208  3 Fe 2.41, 3 Ni 2.53

19.
Computed, not measured: a PBEsol-optimized structure of FeNiSe2 at the meta-GGA SCAN level of DFT.

- formation energy from raw total energies (meV per atom) = 95
- polymorph energy (0 for the lowest one) (eV/atom) = 0.345
- uncorrected energy (eV/atom) = -18.520
- space-group type = No. 166

a b c (Å): 7.4914 7.4914 7.4914
angles (deg): 25.06 25.06 25.06
Last column: nearest neighbours and their distance in Å.
Atoms (fractional coordinates):
Fe: 0.0000 0.0000 0.0000  6 Se 2.35
Ni: 0.5000 0.5000 0.5000  2 Se 2.21
Se: 0.3982 0.3982 0.3982  1 Ni 2.21, 3 Fe 2.35
Se: 0.6018 0.6018 0.6018  1 Ni 2.21, 3 Fe 2.35

20.
Computed, not measured: a PBEsol-optimized structure of FeNiSe2 at the meta-GGA SCAN level of DFT.

- formation energy from raw total energies (meV per atom) = -146
- polymorph energy (0 for the lowest one) (eV/atom) = 0.104
- uncorrected energy (eV/atom) = -18.761
- space-group type = No. 160

a b c (Å): 6.3179 6.3179 6.3179
angles (deg): 32.90 32.90 32.90
Last column: nearest neighbours and their distance in Å.
Atoms (fractional coordinates):
Fe: 0.0000 0.0000 0.0000  3 Ni 2.34, 3 Se 2.42
Ni: 0.7283 0.7283 0.7283  3 Se 2.30, 3 Fe 2.34
Se: 0.2628 0.2628 0.2628  3 Fe 2.42
Se: 0.4514 0.4514 0.4514  3 Ni 2.30